Crystalline TlCuB3 at its relaxed geometry. Source: Alexandria, functional PBE-GGA.

The structure in CIF format:
```
data_TlCuB3
_symmetry_space_group_name_H-M 'P 1'
_symmetry_Int_Tables_number 1
_symmetry_space_group_name_Hall 'P 1'
_cell_length_a 4.5387
_cell_length_b 4.5387
_cell_length_c 4.5387
_cell_angle_alpha 90.00
_cell_angle_beta 90.00
_cell_angle_gamma 90.00
loop_
_atom_site_label
_atom_site_type_symbol
_atom_site_fract_x
_atom_site_fract_y
_atom_site_fract_z
Tl1 Tl 0.0000 0.0000 0.0000
B1 B 0.0000 0.5000 0.0000
B2 B 0.0000 0.0000 0.5000
B3 B 0.5000 0.0000 0.0000
Cu1 Cu 0.5000 0.5000 0.5000
```

Calculated values
Fermi-level density of states (states/eV per atom): 0.859
Symmetry: Pm-3m (221)
Formation energy from the elements (eV/f.u.): 13.58
Energy above the most stable polymorph in this dataset (meV per atom): 1097


Crystalline TlCuB at its relaxed geometry. Source: Alexandria, functional PBE-GGA.

The structure in CIF format:
```
data_TlCuB
_symmetry_space_group_name_H-M 'P 1'
_symmetry_Int_Tables_number 1
_symmetry_space_group_name_Hall 'P 1'
_cell_length_a 2.8559
_cell_length_b 3.0241
_cell_length_c 6.6102
_cell_angle_alpha 108.40
_cell_angle_beta 103.49
_cell_angle_gamma 90.29
loop_
_atom_site_label
_atom_site_type_symbol
_atom_site_fract_x
_atom_site_fract_y
_atom_site_fract_z
Tl1 Tl 0.9112 0.2247 0.1182
B1 B 0.7955 0.6976 0.6188
Cu1 Cu 0.2950 0.1973 0.6185
```

Calculated values
Fermi-level density of states (states/eV per atom): 0.376
Symmetry: P1 (1)
Formation energy from the elements (eV/f.u.): 2.23
Energy above the most stable polymorph in this dataset (meV per atom): 492


Crystalline Tl3CuB at its relaxed geometry. Source: Alexandria, functional PBE-GGA.

The structure in CIF format:
```
data_Tl3CuB
_symmetry_space_group_name_H-M 'P 1'
_symmetry_Int_Tables_number 1
_symmetry_space_group_name_Hall 'P 1'
_cell_length_a 5.1685
_cell_length_b 5.1685
_cell_length_c 5.1685
_cell_angle_alpha 90.00
_cell_angle_beta 90.00
_cell_angle_gamma 90.00
loop_
_atom_site_label
_atom_site_type_symbol
_atom_site_fract_x
_atom_site_fract_y
_atom_site_fract_z
Tl1 Tl 0.0000 0.5000 0.0000
Tl2 Tl 0.0000 0.0000 0.5000
Tl3 Tl 0.5000 0.0000 0.0000
B1 B 0.5000 0.5000 0.5000
Cu1 Cu 0.0000 0.0000 0.0000
```

Calculated values
Fermi-level density of states (states/eV per atom): 0.548
Symmetry: Pm-3m (221)
Formation energy from the elements (eV/f.u.): 5.48
Energy above the most stable polymorph in this dataset (meV per atom): 262


Crystalline TlCu2B at its relaxed geometry. Source: Alexandria, functional PBE-GGA.

The structure in CIF format:
```
data_TlCu2B
_symmetry_space_group_name_H-M 'P 1'
_symmetry_Int_Tables_number 1
_symmetry_space_group_name_Hall 'P 1'
_cell_length_a 4.6954
_cell_length_b 4.6954
_cell_length_c 7.3216
_cell_angle_alpha 71.30
_cell_angle_beta 71.30
_cell_angle_gamma 90.00
loop_
_atom_site_label
_atom_site_type_symbol
_atom_site_fract_x
_atom_site_fract_y
_atom_site_fract_z
Tl1 Tl 0.0000 0.0000 0.0000
Tl2 Tl 0.7500 0.2500 0.5000
B1 B 0.5000 0.5000 0.0000
B2 B 0.2500 0.7500 0.5000
Cu1 Cu 0.3773 0.1250 0.2500
Cu2 Cu 0.3727 0.6250 0.2500
Cu3 Cu 0.3750 0.6227 0.7500
Cu4 Cu 0.8750 0.6273 0.7500
```

Calculated values
Fermi-level density of states (states/eV per atom): 0.463
Symmetry: I-42d (122)
Formation energy from the elements (eV/f.u.): 2.32
Energy above the most stable polymorph in this dataset (meV per atom): 0


Crystalline TlCuB3 at its relaxed geometry. Source: Alexandria, functional PBE-GGA.

The structure in CIF format:
```
data_TlCuB3
_symmetry_space_group_name_H-M 'P 1'
_symmetry_Int_Tables_number 1
_symmetry_space_group_name_Hall 'P 1'
_cell_length_a 4.1013
_cell_length_b 4.1013
_cell_length_c 4.1013
_cell_angle_alpha 90.00
_cell_angle_beta 90.00
_cell_angle_gamma 90.00
loop_
_atom_site_label
_atom_site_type_symbol
_atom_site_fract_x
_atom_site_fract_y
_atom_site_fract_z
Tl1 Tl 0.5000 0.5000 0.5000
B1 B 0.0000 0.5000 0.0000
B2 B 0.0000 0.0000 0.5000
B3 B 0.5000 0.0000 0.0000
Cu1 Cu 0.0000 0.0000 0.0000
```

Calculated values
Fermi-level density of states (states/eV per atom): 0.389
Symmetry: Pm-3m (221)
Formation energy from the elements (eV/f.u.): 8.09
Energy above the most stable polymorph in this dataset (meV per atom): 0


Crystalline TlCu3B at its relaxed geometry. Source: Alexandria, functional PBE-GGA.

The structure in CIF format:
```
data_TlCu3B
_symmetry_space_group_name_H-M 'P 1'
_symmetry_Int_Tables_number 1
_symmetry_space_group_name_Hall 'P 1'
_cell_length_a 4.8977
_cell_length_b 4.8977
_cell_length_c 4.8977
_cell_angle_alpha 90.00
_cell_angle_beta 90.00
_cell_angle_gamma 90.00
loop_
_atom_site_label
_atom_site_type_symbol
_atom_site_fract_x
_atom_site_fract_y
_atom_site_fract_z
Tl1 Tl 0.0000 0.0000 0.0000
B1 B 0.5000 0.5000 0.5000
Cu1 Cu 0.0000 0.5000 0.0000
Cu2 Cu 0.0000 0.0000 0.5000
Cu3 Cu 0.5000 0.0000 0.0000
```

Calculated values
Fermi-level density of states (states/eV per atom): 0.509
Symmetry: Pm-3m (221)
Formation energy from the elements (eV/f.u.): 9.12
Energy above the most stable polymorph in this dataset (meV per atom): 1494


Crystalline TlCu3B at its relaxed geometry. Source: Alexandria, functional PBE-GGA.

The structure in CIF format:
```
data_TlCu3B
_symmetry_space_group_name_H-M 'P 1'
_symmetry_Int_Tables_number 1
_symmetry_space_group_name_Hall 'P 1'
_cell_length_a 4.1282
_cell_length_b 4.1282
_cell_length_c 4.1282
_cell_angle_alpha 90.00
_cell_angle_beta 90.00
_cell_angle_gamma 90.00
loop_
_atom_site_label
_atom_site_type_symbol
_atom_site_fract_x
_atom_site_fract_y
_atom_site_fract_z
Tl1 Tl 0.5000 0.5000 0.5000
B1 B 0.0000 0.0000 0.0000
Cu1 Cu 0.0000 0.5000 0.0000
Cu2 Cu 0.0000 0.0000 0.5000
Cu3 Cu 0.5000 0.0000 0.0000
```

Calculated values
Fermi-level density of states (states/eV per atom): 0.486
Symmetry: Pm-3m (221)
Formation energy from the elements (eV/f.u.): 1.65
Energy above the most stable polymorph in this dataset (meV per atom): 0


Crystalline Tl2CuB at its relaxed geometry. Source: Alexandria, functional PBE-GGA.

The structure in CIF format:
```
data_Tl2CuB
_symmetry_space_group_name_H-M 'P 1'
_symmetry_Int_Tables_number 1
_symmetry_space_group_name_Hall 'P 1'
_cell_length_a 4.7935
_cell_length_b 4.7935
_cell_length_c 4.7935
_cell_angle_alpha 60.00
_cell_angle_beta 60.00
_cell_angle_gamma 60.00
loop_
_atom_site_label
_atom_site_type_symbol
_atom_site_fract_x
_atom_site_fract_y
_atom_site_fract_z
Tl1 Tl 0.2500 0.2500 0.2500
Tl2 Tl 0.7500 0.7500 0.7500
B1 B 0.0000 0.0000 0.0000
Cu1 Cu 0.5000 0.5000 0.5000
```

Calculated values
Fermi-level density of states (states/eV per atom): 0.490
Symmetry: Fm-3m (225)
Formation energy from the elements (eV/f.u.): 4.35
Energy above the most stable polymorph in this dataset (meV per atom): 105